A plane-wave DFT calculation with PBE was carried out for a relaxed HoAgAu crystal.

abc: 3.4064 4.7181 4.7181
angles: 120.00 90.00 90.00
Atoms (fractional coordinates):
1 Au 0.1671 0.3333 0.6667
2 Ho 0.6666 0.6667 0.3333
3 Ag 0.1663 0.0000 0.0000

Volume, Å³/cell: 66
Symmetry: No. 187
E above lowest polymorph, eV per atom: 0.0978
Size of the total moment, μB per cell: 0.00
ΔE_f, eV/f.u.: -1.57

***

A plane-wave DFT calculation with PBE was carried out for a relaxed CsPu2CuCl8 crystal.

abc: 5.3284 8.5082 8.7167
angles: 101.75 89.92 82.13
Site moments in Bohr magnetons follow the coordinates.
Atoms (fractional coordinates):
1 Cs 0.0000 0.0000 0.5000  0.00
2 Pu 0.4312 0.5257 0.7595  -5.05
3 Pu 0.5688 0.4743 0.2405  -5.05
4 Cu 0.0000 0.0000 0.0000  0.02
5 Cl 0.0492 0.5802 0.2671  0.04
6 Cl 0.5355 0.7004 0.0527  0.04
7 Cl 0.9431 0.1911 0.1972  0.01
8 Cl 0.9508 0.4198 0.7329  0.04
9 Cl 0.4645 0.2996 0.9473  0.04
10 Cl 0.0569 0.8089 0.8028  0.01
11 Cl 0.5387 0.6996 0.5260  0.04
12 Cl 0.4613 0.3004 0.4740  0.04

Volume, Å³/cell: 383
Symmetry: No. 2
Formation energy (no corrections), eV/f.u.: -19.99
Size of the total moment, μB per cell: 10.00

***

A plane-wave DFT calculation with PBE was carried out for a relaxed Mg9ZnSe2 crystal.

abc: 11.1448 11.1500 11.1500
angles: 29.63 29.64 29.64
Atoms (fractional coordinates):
1 Zn 0.0000 0.0000 0.0000
2 Mg 0.3337 0.3332 0.3332
3 Mg 0.6663 0.6668 0.6668
4 Mg 0.5000 0.5000 0.5000
5 Mg 0.0842 0.5815 0.5815
6 Mg 0.5823 0.0836 0.5817
7 Mg 0.5823 0.5817 0.0836
8 Mg 0.9158 0.4185 0.4185
9 Mg 0.4177 0.4183 0.9164
10 Mg 0.4177 0.9164 0.4183
11 Se 0.1080 0.1069 0.1069
12 Se 0.8920 0.8931 0.8931

Volume, Å³/cell: 300
Symmetry: No. 12
Formation energy (no corrections), eV/f.u.: -0.77
Size of the total moment, μB per cell: 0.00

***

A plane-wave DFT calculation with PBE was carried out for a relaxed Li12Hg6Ge crystal.

abc: 7.0928 7.0928 7.0928
angles: 91.52 91.52 91.52
Atoms (fractional coordinates):
1 Li 0.8012 0.5335 0.4346
2 Li 0.4346 0.8012 0.5335
3 Li 0.5335 0.4346 0.8012
4 Li 0.1988 0.4665 0.5654
5 Li 0.5654 0.1988 0.4665
6 Li 0.4665 0.5654 0.1988
7 Li 0.0274 0.1394 0.3611
8 Li 0.8606 0.6389 0.9726
9 Li 0.6389 0.9726 0.8606
10 Li 0.9726 0.8606 0.6389
11 Li 0.1394 0.3611 0.0274
12 Li 0.3611 0.0274 0.1394
13 Hg 0.7078 0.8787 0.2852
14 Hg 0.7148 0.2922 0.1213
15 Hg 0.1213 0.7148 0.2922
16 Hg 0.2922 0.1213 0.7148
17 Hg 0.2852 0.7078 0.8787
18 Hg 0.8787 0.2852 0.7078
19 Ge 0.0000 0.0000 0.0000

Volume, Å³/cell: 356
Symmetry: No. 148
Size of the total moment, μB per cell: 0.00
ΔE_f, eV/f.u.: -5.35